Density functional theory data (PBE-GGA) for crystalline NaIn3Pt3 at its relaxed geometry.

```
NaIn3Pt3
1.0
7.4342 0.0000 0.0000
0.0000 7.4342 0.0000
0.0000 0.0000 7.4342
Na In Pt
2 6 6
Direct
0.0000 0.0000 0.0000
0.5000 0.5000 0.5000
0.0000 0.2500 0.5000
0.0000 0.7500 0.5000
0.2500 0.5000 0.0000
0.5000 0.0000 0.2500
0.5000 0.0000 0.7500
0.7500 0.5000 0.0000
0.0000 0.5000 0.2500
0.0000 0.5000 0.7500
0.2500 0.0000 0.5000
0.5000 0.2500 0.0000
0.5000 0.7500 0.0000
0.7500 0.0000 0.5000
```

Values from the calculation:
density of states at the Fermi level: 0.403 states/eV/atom
calculated formation energy: -0.076 eV/atom
crystal system: cubic
calculated total energy: -4.027 eV per atom